Record 1
DFT (SCAN) results for a PBEsol-optimized structure of HgSbTe2Au.

```
data_HgSbTe2Au
_chemical_formula_sum 'Hg1 Sb1 Te2 Au1'
_symmetry_space_group_name_H-M 'P 4/m m m'
_symmetry_Int_Tables_number 123
_symmetry_space_group_name_Hall '-P 4 2'
_cell_length_a 5.489
_cell_length_b 5.489
_cell_length_c 5.393
_cell_angle_alpha 90.00
_cell_angle_beta 90.00
_cell_angle_gamma 90.00
loop_
_atom_site_label
_atom_site_type_symbol
_atom_site_fract_x
_atom_site_fract_y
_atom_site_fract_z
_atom_site_occupancy
Hg1 Hg 0.000 0.000 0.000 1
Sb1 Sb 0.000 0.000 0.500 1
Te1 Te 0.000 0.500 0.000 1
Au1 Au 0.500 0.500 0.500 1
```

* formation energy (no corrections): 1.023 eV per atom

=====

Record 2
DFT (SCAN) results for a PBEsol-optimized structure of ScHg2Au.

```
data_ScHg2Au
_chemical_formula_sum 'Sc2 Hg4 Au2'
_symmetry_space_group_name_H-M 'I -4 m 2'
_symmetry_Int_Tables_number 119
_symmetry_space_group_name_Hall 'I -4 -2'
_cell_length_a 4.673
_cell_length_b 4.673
_cell_length_c 7.089
_cell_angle_alpha 90.00
_cell_angle_beta 90.00
_cell_angle_gamma 90.00
loop_
_atom_site_label
_atom_site_type_symbol
_atom_site_fract_x
_atom_site_fract_y
_atom_site_fract_z
_atom_site_occupancy
Sc1 Sc 0.000 0.000 0.000 1
Hg1 Hg 0.000 0.000 0.500 1
Hg2 Hg 0.000 0.500 0.750 1
Au1 Au 0.000 0.500 0.250 1
```

* ΔH_f (0 K): -0.46 eV per atom

=====

Record 3
DFT (SCAN) results for a PBEsol-optimized structure of Sc2HgAu.

```
data_Sc2HgAu
_chemical_formula_sum 'Sc2 Hg1 Au1'
_symmetry_space_group_name_H-M 'P 4/m m m'
_symmetry_Int_Tables_number 123
_symmetry_space_group_name_Hall '-P 4 2'
_cell_length_a 3.378
_cell_length_b 3.378
_cell_length_c 6.926
_cell_angle_alpha 90.00
_cell_angle_beta 90.00
_cell_angle_gamma 90.00
loop_
_atom_site_label
_atom_site_type_symbol
_atom_site_fract_x
_atom_site_fract_y
_atom_site_fract_z
_atom_site_occupancy
Sc1 Sc 0.000 0.000 0.238 1
Hg1 Hg 0.500 0.500 0.500 1
Au1 Au 0.500 0.500 0.000 1
```

* ΔH_f (0 K): -0.87 eV per atom

=====

Record 4
DFT (SCAN) results for a PBEsol-optimized structure of ScHg2Au.

```
data_ScHg2Au
_chemical_formula_sum 'Sc1 Hg2 Au1'
_symmetry_space_group_name_H-M 'P 4 m m'
_symmetry_Int_Tables_number 99
_cell_length_a 3.453
_cell_length_b 3.453
_cell_length_c 6.698
_cell_angle_alpha 90.00
_cell_angle_beta 90.00
_cell_angle_gamma 90.00
loop_
_symmetry_equiv_pos_as_xyz
'x,y,z'
'-y,x,z'
'-x,-y,z'
'y,-x,z'
'-x,y,z'
'y,x,z'
'x,-y,z'
'-y,-x,z'
loop_
_atom_site_label
_atom_site_type_symbol
_atom_site_fract_x
_atom_site_fract_y
_atom_site_fract_z
_atom_site_occupancy
Sc1 Sc 0.000 0.000 0.000 1
Hg1 Hg 0.000 0.000 0.466 1
Hg2 Hg 0.500 0.500 0.737 1
Au1 Au 0.500 0.500 0.209 1
```

* ΔH_f (0 K): -0.47 eV per atom

=====

Record 5
DFT (SCAN) results for a PBEsol-optimized structure of Sc2HgAu.

```
data_Sc2HgAu
_chemical_formula_sum 'Sc2 Hg1 Au1'
_symmetry_space_group_name_H-M 'P m m 2'
_symmetry_Int_Tables_number 25
_cell_length_a 3.351
_cell_length_b 4.774
_cell_length_c 4.921
_cell_angle_alpha 90.00
_cell_angle_beta 90.00
_cell_angle_gamma 90.00
loop_
_symmetry_equiv_pos_as_xyz
'x,y,z'
'-x,-y,z'
'-x,y,z'
'x,-y,z'
loop_
_atom_site_label
_atom_site_type_symbol
_atom_site_fract_x
_atom_site_fract_y
_atom_site_fract_z
_atom_site_occupancy
Sc1 Sc 0.000 0.000 0.000 1
Sc2 Sc 0.000 0.500 0.452 1
Hg1 Hg 0.500 0.500 0.933 1
Au1 Au 0.500 0.000 0.523 1
```

* ΔH_f (0 K): -0.87 eV per atom

=====

Record 6
DFT (SCAN) results for a PBEsol-optimized structure of ScHgAu.

```
data_ScHgAu
_chemical_formula_sum 'Sc2 Hg2 Au2'
_symmetry_space_group_name_H-M 'I m m 2'
_symmetry_Int_Tables_number 44
_cell_length_a 3.600
_cell_length_b 3.611
_cell_length_c 8.804
_cell_angle_alpha 90.00
_cell_angle_beta 90.00
_cell_angle_gamma 90.00
loop_
_symmetry_equiv_pos_as_xyz
'x,y,z'
'-x,-y,z'
'-x,y,z'
'x,-y,z'
'x+1/2,y+1/2,z+1/2'
'-x+1/2,-y+1/2,z+1/2'
'-x+1/2,y+1/2,z+1/2'
'x+1/2,-y+1/2,z+1/2'
loop_
_atom_site_label
_atom_site_type_symbol
_atom_site_fract_x
_atom_site_fract_y
_atom_site_fract_z
_atom_site_occupancy
Sc1 Sc 0.000 0.000 0.000 1
Hg1 Hg 0.000 0.000 0.328 1
Au1 Au 0.000 0.000 0.660 1
```

* ΔH_f (0 K): -0.72 eV per atom

=====

Record 7
DFT (SCAN) results for a PBEsol-optimized structure of Hg2AuSe.

```
data_Hg2AuSe
_chemical_formula_sum 'Hg6 Au3 Se3'
_symmetry_space_group_name_H-M 'R -3 m'
_symmetry_Int_Tables_number 166
_symmetry_space_group_name_Hall '-R 3 2"'
_cell_length_a 4.0079
_cell_length_b 4.0079
_cell_length_c 19.1893
_cell_angle_alpha 90.00
_cell_angle_beta 90.00
_cell_angle_gamma 120.00
loop_
_atom_site_label
_atom_site_type_symbol
_atom_site_fract_x
_atom_site_fract_y
_atom_site_fract_z
_atom_site_occupancy
Hg1 Hg 0.0000 0.0000 0.2480 1
Au1 Au 0.0000 0.0000 0.5000 1
Se1 Se 0.0000 0.0000 0.0000 1
```

* formation energy (no corrections): 0.028 eV per atom

=====

Record 8
DFT (SCAN) results for a PBEsol-optimized structure of Hg2AuSe.

```
data_Hg2AuSe
_chemical_formula_sum 'Hg2 Au1 Se1'
_symmetry_space_group_name_H-M 'P 4/m m m'
_symmetry_Int_Tables_number 123
_symmetry_space_group_name_Hall '-P 4 2'
_cell_length_a 3.872
_cell_length_b 3.872
_cell_length_c 5.940
_cell_angle_alpha 90.00
_cell_angle_beta 90.00
_cell_angle_gamma 90.00
loop_
_atom_site_label
_atom_site_type_symbol
_atom_site_fract_x
_atom_site_fract_y
_atom_site_fract_z
_atom_site_occupancy
Hg1 Hg 0.000 0.500 0.000 1
Au1 Au 0.000 0.000 0.500 1
Se1 Se 0.500 0.500 0.500 1
```

* formation energy (no corrections): 0.160 eV per atom

=====

Number 1: V 32.5 Å³ per atom. Number 2: V 19.4 Å³ per atom. Number 3: V 19.8 Å³ per atom. Number 4: V 20.0 Å³ per atom. Number 5: V 19.7 Å³ per atom. Number 6: V 19.1 Å³ per atom. Number 7: V 22.2 Å³ per atom. Number 8: V 22.3 Å³ per atom.